1.
Here is a relaxed structure of ZrIn2B from Alexandria. Energies are from PBE.

a b c (Å): 6.0623 6.0623 6.0623
angles (deg): 100.52 100.52 129.40
Sites, in units of the cell vectors:
Zr: 0.0000 0.0000 0.0000
Zr: 0.7500 0.2500 0.5000
In: 0.2080 0.6250 0.0830
In: 0.3750 0.4580 0.5830
In: 0.5420 0.1250 0.9170
In: 0.8750 0.7920 0.4170
B: 0.2500 0.7500 0.5000
B: 0.5000 0.5000 0.0000

Symmetry = No. 122
Total magnetization = 0.00 μB per formula unit
Raw total energy = -4.8919 eV/atom
ΔH_f (0 K) = 1.1 eV per formula unit

=====

2.
Here is a relaxed structure of Zr2InB from Alexandria. Energies are from PBE.

a b c (Å): 7.9157 7.9157 7.9157
angles (deg): 25.23 25.23 25.23
Sites, in units of the cell vectors:
Zr: 0.2234 0.2234 0.2234
Zr: 0.7766 0.7766 0.7766
In: 0.0000 0.0000 0.0000
B: 0.5000 0.5000 0.5000

Symmetry = No. 166
Total magnetization = 0.00 μB per formula unit
Raw total energy = -7.0723 eV/atom
Excess energy over the best structure of this formula in the dataset = 0 meV per atom
ΔH_f (0 K) = -1.8 eV per formula unit

=====

3.
Here is a relaxed structure of Zr6In3B from Alexandria. Energies are from PBE.

a b c (Å): 6.1908 6.1908 6.9716
angles (deg): 101.04 101.04 60.31
Sites, in units of the cell vectors:
Zr: 0.1346 0.6352 0.6364
Zr: 0.1524 0.1524 0.8172
Zr: 0.3648 0.8654 0.3636
Zr: 0.6352 0.1346 0.6364
Zr: 0.8476 0.8476 0.1828
Zr: 0.8654 0.3648 0.3636
In: 0.3313 0.3313 0.2543
In: 0.5000 0.5000 0.0000
In: 0.6687 0.6687 0.7457
B: 0.0000 0.0000 0.5000

Symmetry = No. 12
Total magnetization = 0.00 μB per formula unit
Raw total energy = -6.7381 eV/atom
ΔH_f (0 K) = -1.2 eV per formula unit